[1]
The following is a DFT calculation (PBE) of an optimized crystal structure of LiV2ZnH.

Cell: 3.6535 3.6535 4.1884 Å, 90.00 90.00 90.00°
Atoms (fractional coordinates):
Li  0.0000  0.0000  0.0000
V  0.0000  0.5000  0.5000
V  0.5000  0.0000  0.5000
Zn  0.5000  0.5000  0.0000
H  0.0000  0.0000  0.5000

Computed properties:
The total energy is -0.362 Ry/atom. The density of states at the Fermi level comes out at 3.6 states/eV/cell.


[2]
The following is a DFT calculation (PBE) of an optimized crystal structure of ScPF2.

Cell: 3.0653 3.0653 26.2508 Å, 90.00 90.00 120.00°
Atoms (fractional coordinates):
Sc  0.0000  0.0000  0.0000
Sc  0.3333  0.6667  0.6667
Sc  0.6667  0.3333  0.3333
P  0.0000  0.0000  0.5000
P  0.3333  0.6667  0.1667
P  0.6667  0.3333  0.8333
F  0.0000  0.0000  0.0726
F  0.0000  0.0000  0.9274
F  0.3333  0.6667  0.5941
F  0.3333  0.6667  0.7392
F  0.6667  0.3333  0.2608
F  0.6667  0.3333  0.4059

Computed properties:
The energy above the most stable polymorph in this dataset is 758 meV/atom. Its uncorrected formation energy is -4.75 eV/f.u. The density of states at the Fermi level comes out at 8.9 states/eV/cell.


[3]
The following is a DFT calculation (PBE) of an optimized crystal structure of BaAl2Rh.

Cell: 7.0035 7.0035 7.0035 Å, 90.00 90.00 90.00°
Atoms (fractional coordinates):
Ba  0.0000  0.0000  0.0000
Ba  0.0000  0.5000  0.5000
Ba  0.5000  0.0000  0.5000
Ba  0.5000  0.5000  0.0000
Al  0.2500  0.2500  0.2500
Al  0.2500  0.2500  0.7500
Al  0.2500  0.7500  0.2500
Al  0.2500  0.7500  0.7500
Al  0.7500  0.2500  0.2500
Al  0.7500  0.2500  0.7500
Al  0.7500  0.7500  0.2500
Al  0.7500  0.7500  0.7500
Rh  0.0000  0.0000  0.5000
Rh  0.0000  0.5000  0.0000
Rh  0.5000  0.0000  0.0000
Rh  0.5000  0.5000  0.5000

Computed properties:
As for the formation energy: 0.08 eV/atom. The density of states at the Fermi level comes out at 12.5 states/eV/cell.


[4]
The following is a DFT calculation (PBE) of an optimized crystal structure of NbFeGeH.

Cell: 2.9512 2.9512 18.4516 Å, 90.00 90.00 120.00°
Atoms (fractional coordinates):
Nb  0.0000  0.0000  0.0000
Nb  0.3333  0.6667  0.6667
Nb  0.6667  0.3333  0.3333
Fe  0.0000  0.0000  0.7854
Fe  0.3333  0.6667  0.4520
Fe  0.6667  0.3333  0.1187
Ge  0.0000  0.0000  0.2136
Ge  0.3333  0.6667  0.8803
Ge  0.6667  0.3333  0.5469
H  0.0000  0.0000  0.4073
H  0.3333  0.6667  0.0740
H  0.6667  0.3333  0.7406

Computed properties:
The energy above the most stable polymorph in this dataset is 115 meV/atom. The density of states at the Fermi level comes out at 8.7 states/eV/cell.


[5]
The following is a DFT calculation (PBE) of an optimized crystal structure of KIn2Tc.

Cell: 5.3871 5.3871 3.1693 Å, 90.00 90.00 90.00°
Atoms (fractional coordinates):
K  0.0000  0.0000  0.0000
In  0.0000  0.5000  0.5000
In  0.5000  0.0000  0.5000
Tc  0.5000  0.5000  0.0000

Computed properties:
The energy above the most stable polymorph in this dataset is 378 meV/atom. As for the formation energy: 0.68 eV/atom. The density of states at the Fermi level comes out at 2.5 states/eV/cell.


[6]
The following is a DFT calculation (PBE) of an optimized crystal structure of PmZn3Pt3.

Cell: 6.8127 6.8127 6.8127 Å, 90.00 90.00 90.00°
Atoms (fractional coordinates):
Pm  0.0000  0.0000  0.0000
Pm  0.5000  0.5000  0.5000
Zn  0.0000  0.2500  0.5000
Zn  0.0000  0.7500  0.5000
Zn  0.2500  0.5000  0.0000
Zn  0.5000  0.0000  0.2500
Zn  0.5000  0.0000  0.7500
Zn  0.7500  0.5000  0.0000
Pt  0.0000  0.5000  0.2500
Pt  0.0000  0.5000  0.7500
Pt  0.2500  0.0000  0.5000
Pt  0.5000  0.2500  0.0000
Pt  0.5000  0.7500  0.0000
Pt  0.7500  0.0000  0.5000

Computed properties:
The energy above the most stable polymorph in this dataset is 472 meV/atom. As for the formation energy: -0.13 eV/atom. The density of states at the Fermi level comes out at 4.3 states/eV/cell.


[7]
The following is a DFT calculation (PBE) of an optimized crystal structure of Ni5As.

Cell: 3.5998 10.5624 3.5713 Å, 90.00 90.00 90.00°
Atoms (fractional coordinates):
Ni  0.0000  0.0000  0.0000
Ni  0.0000  0.1658  0.5000
Ni  0.0000  0.3320  0.0000
Ni  0.0000  0.6680  0.0000
Ni  0.0000  0.8342  0.5000
Ni  0.5000  0.1680  0.0000
Ni  0.5000  0.3342  0.5000
Ni  0.5000  0.5000  0.0000
Ni  0.5000  0.6658  0.5000
Ni  0.5000  0.8320  0.0000
As  0.0000  0.5000  0.5000
As  0.5000  0.0000  0.5000

Computed properties:
As for the formation energy: -0.10 eV/atom. The density of states at the Fermi level comes out at 17.9 states/eV/cell.


[8]
The following is a DFT calculation (PBE) of an optimized crystal structure of AsH2Pt2.

Cell: 3.1467 3.1467 11.4656 Å, 90.00 90.00 90.00°
Atoms (fractional coordinates):
As  0.0000  0.0000  0.0000
As  0.5000  0.5000  0.5000
H  0.0000  0.5000  0.2500
H  0.0000  0.5000  0.7500
H  0.5000  0.0000  0.2500
H  0.5000  0.0000  0.7500
Pt  0.0000  0.0000  0.3496
Pt  0.0000  0.0000  0.6504
Pt  0.5000  0.5000  0.1504
Pt  0.5000  0.5000  0.8496

Computed properties:
The energy above the most stable polymorph in this dataset is 30 meV/atom. The density of states at the Fermi level comes out at 4.5 states/eV/cell.